[1]
# CaSiMo (PBE, optimized geometry)
data_CaSiMo
_space_group_name_H-M_alt 'I 4 m m'
_space_group_IT_number 107
_space_group_name_Hall 'I 4 -2'
_cell_length_a 3.408
_cell_length_b 3.408
_cell_length_c 10.678
_cell_angle_alpha 90.00
_cell_angle_beta 90.00
_cell_angle_gamma 90.00
loop_
_atom_site_label
_atom_site_type_symbol
_atom_site_fract_x
_atom_site_fract_y
_atom_site_fract_z
_atom_site_occupancy
Ca1 Ca 0.000 0.000 0.000 1
Si1 Si 0.000 0.000 0.276 1
Mo1 Mo 0.000 0.000 0.719 1
# spin magnetization: 0.000 μB/atom
# DOS at the Fermi energy: 1.8 states/eV/f.u.
# total energy: -18.30 eV/f.u.
# E_form (uncorrected): -14.9 meV/atom

[2]
# LaAuSe (PBE, optimized geometry)
data_LaAuSe
_space_group_name_H-M_alt 'F -4 3 m'
_space_group_IT_number 216
_space_group_name_Hall 'F -4 2 3'
_cell_length_a 7.136
_cell_length_b 7.136
_cell_length_c 7.136
_cell_angle_alpha 90.00
_cell_angle_beta 90.00
_cell_angle_gamma 90.00
loop_
_atom_site_label
_atom_site_type_symbol
_atom_site_fract_x
_atom_site_fract_y
_atom_site_fract_z
_atom_site_occupancy
La1 La 0.000 0.000 0.000 1
Au1 Au 0.250 0.250 0.750 1
Se1 Se 0.250 0.250 0.250 1
# spin magnetization: 0.000 μB/atom
# relative energy among the computed polymorphs: 173.8 meV/atom
# total energy: -15.37 eV/f.u.
# E_form (uncorrected): -1227.8 meV/atom

[3]
# Be2HgTe (PBE, optimized geometry)
data_Be2HgTe
_space_group_name_H-M_alt 'C m m 2'
_space_group_IT_number 35
_space_group_name_Hall 'C 2 -2'
_cell_length_a 3.923
_cell_length_b 6.881
_cell_length_c 6.689
_cell_angle_alpha 90.00
_cell_angle_beta 90.00
_cell_angle_gamma 90.00
loop_
_atom_site_label
_atom_site_type_symbol
_atom_site_fract_x
_atom_site_fract_y
_atom_site_fract_z
_atom_site_occupancy
Be1 Be 0.000 0.000 0.000 1
Be2 Be 0.000 0.500 0.162 1
Hg1 Hg 0.000 0.000 0.368 1
Te1 Te 0.000 0.500 0.799 1
# spin magnetization: 0.000 μB/atom
# relative energy among the computed polymorphs: 151.0 meV/atom
# DOS at the Fermi energy: 1.4 states/eV/f.u.
# total energy: -8.94 eV/f.u.
# E_form (uncorrected): 489.2 meV/atom

[4]
# SmHf2F11 (PBE, optimized geometry)
data_SmHf2F11
_space_group_name_H-M_alt 'I b a m'
_space_group_IT_number 72
_space_group_name_Hall '-I 2 2c'
_cell_length_a 7.767
_cell_length_b 10.003
_cell_length_c 10.887
_cell_angle_alpha 90.00
_cell_angle_beta 90.00
_cell_angle_gamma 90.00
loop_
_atom_site_label
_atom_site_type_symbol
_atom_site_fract_x
_atom_site_fract_y
_atom_site_fract_z
_atom_site_occupancy
Sm1 Sm 0.000 0.000 0.250 1
Hf1 Hf 0.135 0.319 0.000 1
F1 F 0.000 0.500 0.000 1
F2 F 0.102 0.184 0.137 1
F3 F 0.129 0.282 0.500 1
F4 F 0.234 0.076 0.369 1
# spin magnetization: 0.000 μB/atom
# DOS at the Fermi energy: 0.0 states/eV/f.u.
# total energy: -100.17 eV/f.u.
# E_form (uncorrected): -3926.0 meV/atom

[5]
# TiAlV (PBE, optimized geometry)
data_TiAlV
_space_group_name_H-M_alt 'P -1'
_space_group_IT_number 2
_space_group_name_Hall '-P 1'
_cell_length_a 4.566
_cell_length_b 5.023
_cell_length_c 5.074
_cell_angle_alpha 94.15
_cell_angle_beta 112.08
_cell_angle_gamma 116.82
loop_
_atom_site_label
_atom_site_type_symbol
_atom_site_fract_x
_atom_site_fract_y
_atom_site_fract_z
_atom_site_occupancy
Ti1 Ti 0.226 0.261 0.244 1
Al1 Al 0.474 0.109 0.770 1
V1 V 0.092 0.401 0.711 1
# spin magnetization: 0.000 μB/atom
# relative energy among the computed polymorphs: 0.0 meV/atom
# DOS at the Fermi energy: 2.5 states/eV/f.u.
# calculated formation energy: -0.19 eV per atom
# total energy: -21.33 eV/f.u.

[6]
# YMgTl2 (PBE, optimized geometry)
data_YMgTl2
_space_group_name_H-M_alt 'C m m 2'
_space_group_IT_number 35
_space_group_name_Hall 'C 2 -2'
_cell_length_a 3.908
_cell_length_b 5.618
_cell_length_c 10.268
_cell_angle_alpha 90.00
_cell_angle_beta 90.00
_cell_angle_gamma 90.00
loop_
_atom_site_label
_atom_site_type_symbol
_atom_site_fract_x
_atom_site_fract_y
_atom_site_fract_z
_atom_site_occupancy
Y1 Y 0.000 0.000 0.000 1
Mg1 Mg 0.000 0.500 0.254 1
Tl1 Tl 0.000 0.000 0.494 1
Tl2 Tl 0.000 0.500 0.747 1
# spin magnetization: 0.000 μB/atom
# DOS at the Fermi energy: 3.1 states/eV/f.u.
# calculated formation energy: -0.01 eV per atom
# total energy: -12.83 eV/f.u.

[7]
# YRu3 (PBE, optimized geometry)
data_YRu3
_space_group_name_H-M_alt 'P m m 2'
_space_group_IT_number 25
_space_group_name_Hall 'P 2 -2'
_cell_length_a 2.908
_cell_length_b 4.493
_cell_length_c 5.156
_cell_angle_alpha 90.00
_cell_angle_beta 90.00
_cell_angle_gamma 90.00
loop_
_atom_site_label
_atom_site_type_symbol
_atom_site_fract_x
_atom_site_fract_y
_atom_site_fract_z
_atom_site_occupancy
Y1 Y 0.000 0.000 0.000 1
Ru1 Ru 0.000 0.500 0.631 1
Ru2 Ru 0.500 0.000 0.494 1
Ru3 Ru 0.500 0.500 0.209 1
# spin magnetization: 0.000 μB/atom
# DOS at the Fermi energy: 4.2 states/eV/f.u.
# calculated formation energy: 0.20 eV per atom
# total energy: -33.50 eV/f.u.

[8]
# SrLiTbTe3 (PBE, optimized geometry)
data_SrLiTbTe3
_space_group_name_H-M_alt 'P 1 21/m 1'
_space_group_IT_number 11
_space_group_name_Hall '-P 2yb'
_cell_length_a 9.202
_cell_length_b 4.453
_cell_length_c 9.788
_cell_angle_alpha 90.00
_cell_angle_beta 103.75
_cell_angle_gamma 90.00
loop_
_atom_site_label
_atom_site_type_symbol
_atom_site_fract_x
_atom_site_fract_y
_atom_site_fract_z
_atom_site_occupancy
Sr1 Sr 0.188 0.250 0.241 1
Li1 Li 0.085 0.250 0.588 1
Tb1 Tb 0.329 0.750 0.837 1
Te1 Te 0.104 0.250 0.872 1
Te2 Te 0.226 0.750 0.513 1
Te3 Te 0.437 0.750 0.167 1
# spin magnetization: 0.000 μB/atom
# total energy: -26.17 eV/f.u.
# E_form (uncorrected): -1420.2 meV/atom

[9]
# Ti7In4Sn (PBE, optimized geometry)
data_Ti7In4Sn
_space_group_name_H-M_alt 'C 1 2/m 1'
_space_group_IT_number 12
_space_group_name_Hall '-C 2y'
_cell_length_a 10.393
_cell_length_b 5.138
_cell_length_c 10.704
_cell_angle_alpha 90.00
_cell_angle_beta 118.95
_cell_angle_gamma 90.00
loop_
_atom_site_label
_atom_site_type_symbol
_atom_site_fract_x
_atom_site_fract_y
_atom_site_fract_z
_atom_site_occupancy
Ti1 Ti 0.000 0.000 0.000 1
Ti2 Ti 0.033 0.500 0.380 1
Ti3 Ti 0.141 0.000 0.532 1
Ti4 Ti 0.212 0.500 0.915 1
In1 In 0.094 0.000 0.777 1
In2 In 0.225 0.000 0.316 1
Sn1 Sn 0.000 0.500 0.000 1
# spin magnetization: 0.361 μB/atom
# DOS at the Fermi energy: 13.1 states/eV/f.u.
# calculated formation energy: 0.12 eV per atom
# total energy: -68.81 eV/f.u.

[10]
# Pa2SBr2 (PBE, optimized geometry)
data_Pa2SBr2
_space_group_name_H-M_alt 'R -3 m'
_space_group_IT_number 166
_space_group_name_Hall '-R 3 2"'
_cell_length_a 4.0099
_cell_length_b 4.0099
_cell_length_c 31.3795
_cell_angle_alpha 90.00
_cell_angle_beta 90.00
_cell_angle_gamma 120.00
loop_
_atom_site_label
_atom_site_type_symbol
_atom_site_fract_x
_atom_site_fract_y
_atom_site_fract_z
_atom_site_occupancy
Pa1 Pa 0.0000 0.0000 0.1239 1
S1 S 0.0000 0.0000 0.5000 1
Br1 Br 0.0000 0.0000 0.2704 1
# spin magnetization: 0.000 μB/atom
# DOS at the Fermi energy: 5.7 states/eV/f.u.
# total energy: -33.30 eV/f.u.
# E_form (uncorrected): -1367.1 meV/atom

[11]
# AcTb2Sm6Dy3 (PBE, optimized geometry)
data_AcTb2Sm6Dy3
_space_group_name_H-M_alt 'C 1 2/m 1'
_space_group_IT_number 12
_space_group_name_Hall '-C 2y'
_cell_length_a 6.282
_cell_length_b 10.878
_cell_length_c 12.020
_cell_angle_alpha 90.00
_cell_angle_beta 100.04
_cell_angle_gamma 90.00
loop_
_atom_site_label
_atom_site_type_symbol
_atom_site_fract_x
_atom_site_fract_y
_atom_site_fract_z
_atom_site_occupancy
Ac1 Ac 0.000 0.000 0.000 1
Tb1 Tb 0.000 0.333 0.000 1
Sm1 Sm 0.247 0.332 0.745 1
Sm2 Sm 0.249 0.500 0.255 1
Dy1 Dy 0.000 0.167 0.500 1
Dy2 Dy 0.000 0.500 0.500 1
# spin magnetization: 0.000 μB/atom
# DOS at the Fermi energy: 16.1 states/eV/f.u.
# calculated formation energy: 0.03 eV per atom
# total energy: -55.16 eV/f.u.

[12]
# LaRe3Cl (PBE, optimized geometry)
data_LaRe3Cl
_space_group_name_H-M_alt 'P m -3 m'
_space_group_IT_number 221
_space_group_name_Hall '-P 4 2 3'
_cell_length_a 4.931
_cell_length_b 4.931
_cell_length_c 4.931
_cell_angle_alpha 90.00
_cell_angle_beta 90.00
_cell_angle_gamma 90.00
loop_
_atom_site_label
_atom_site_type_symbol
_atom_site_fract_x
_atom_site_fract_y
_atom_site_fract_z
_atom_site_occupancy
La1 La 0.000 0.000 0.000 1
Re1 Re 0.000 0.000 0.500 1
Cl1 Cl 0.500 0.500 0.500 1
# spin magnetization: 0.002 μB/atom
# relative energy among the computed polymorphs: 2025.4 meV/atom
# DOS at the Fermi energy: 15.0 states/eV/f.u.
# total energy: -27.22 eV/f.u.
# E_form (uncorrected): 3380.1 meV/atom